A plane-wave DFT calculation with PBE was carried out for a relaxed FeCo2Se4 crystal.

Cell lengths 6.979, 6.979, 9.824 Å; angles 90.00, 90.00, 90.00 degrees
Atoms (fractional coordinates):
1 Co 0.500 0.758 0.000
2 Co 0.740 0.260 0.125
3 Co 0.242 0.500 0.250
4 Co 0.740 0.740 0.375
5 Co 0.500 0.242 0.500
6 Co 0.260 0.740 0.625
7 Co 0.758 0.500 0.750
8 Co 0.260 0.260 0.875
9 Fe 0.000 0.764 0.000
10 Fe 0.236 0.000 0.250
11 Fe 0.000 0.236 0.500
12 Fe 0.764 0.000 0.750
13 Se 0.254 0.995 0.003
14 Se 0.251 0.523 0.008
15 Se 0.477 0.749 0.242
16 Se 0.005 0.746 0.247
17 Se 0.005 0.254 0.253
18 Se 0.477 0.251 0.258
19 Se 0.251 0.477 0.492
20 Se 0.254 0.005 0.497
21 Se 0.746 0.005 0.503
22 Se 0.749 0.477 0.508
23 Se 0.523 0.251 0.742
24 Se 0.995 0.254 0.747
25 Se 0.995 0.746 0.753
26 Se 0.523 0.749 0.758
27 Se 0.749 0.523 0.992
28 Se 0.746 0.995 0.997

Results
The calculation puts the total energy at -5.46 eV per atom.